Np2AlGa after structural relaxation. Source: Alexandria via LeMat-Bulk, functional GGA-PBE.

Computed properties:
Formation energy from the elements = -0.0993 eV per atom
SG = Cmcm, No. 63
ρ = 13.2 Mg/m³
Electronic total energy = -8.262 eV per atom

Cell lengths 4.563, 5.792, 6.163 Å; angles 118.03, 90.00, 90.00 degrees
Element x y z (fractional)
Ga 0.250 0.826 0.653
Ga 0.750 0.174 0.347
Al 0.250 0.293 0.587
Al 0.750 0.707 0.413
Np 0.250 0.346 0.109
Np 0.750 0.238 0.892
Np 0.750 0.654 0.891
Np 0.250 0.762 0.108



TbPr2Co9 after structural relaxation. Source: Alexandria via LeMat-Bulk, functional GGA-PBE.

Computed properties:
Formation energy from the elements = -0.0579 eV per atom
SG = R-3m, No. 166
ρ = 8.9 Mg/m³
Electronic total energy = -6.570 eV per atom

Cell lengths 5.017, 5.017, 8.833 Å; angles 73.50, 73.50, 60.00 degrees
Element x y z (fractional)
Co 0.918 0.424 0.234
Co 0.576 0.082 0.766
Co 0.424 0.424 0.234
Co 0.333 0.333 0.001
Co 0.576 0.576 0.766
Co 0.082 0.576 0.766
Co 0.500 0.500 0.500
Co 0.667 0.667 0.999
Co 0.424 0.918 0.234
Pr 0.139 0.139 0.582
Pr 0.861 0.861 0.418
Tb 0.000 0.000 0.000



Repeat the first record exactly.
Np2AlGa after structural relaxation. Source: Alexandria via LeMat-Bulk, functional GGA-PBE.

Computed properties:
Formation energy from the elements = -0.0993 eV per atom
SG = Cmcm, No. 63
ρ = 13.2 Mg/m³
Electronic total energy = -8.262 eV per atom

Cell lengths 4.563, 5.792, 6.163 Å; angles 118.03, 90.00, 90.00 degrees
Element x y z (fractional)
Ga 0.250 0.826 0.653
Ga 0.750 0.174 0.347
Al 0.250 0.293 0.587
Al 0.750 0.707 0.413
Np 0.250 0.346 0.109
Np 0.750 0.238 0.892
Np 0.750 0.654 0.891
Np 0.250 0.762 0.108



> The highest formation energy from the elements belongs to which entry?

TbPr2Co9